Here is SmAl4AgPt2 after structural relaxation from Alexandria via LeMat-Bulk. Energies are from PBE-GGA.

a b c (Å): 4.2984 4.2984 9.3673
angles (deg): 76.74 76.74 60.00
Positions (direct):
Sm (0.0000, 0.0000, 0.0000)
Al (0.4016, 0.4016, 0.7953)
Al (0.8740, 0.8740, 0.3780)
Al (0.1260, 0.1260, 0.6220)
Al (0.5984, 0.5984, 0.2047)
Ag (0.5000, 0.5000, 0.5000)
Pt (0.7595, 0.7595, 0.7214)
Pt (0.2405, 0.2405, 0.2786)

Results
Total DFT energy (no corrections) (eV per atom): -5.02
Theoretical density (g/cm³): 8.7
Crystal system: trigonal
E_form (eV per atom): -0.6927
SG: R-3m, No. 166
Calculated volume (Å³/cell): 144.53